## 1
Density functional theory data (PBE) for crystalline RbWAu at its relaxed geometry.

Values from the calculation:
The crystal system is cubic. The volume comes out at 93.3 Å³/f.u. As for the space group: F-43m.

a = 5.0912 Å, b = 5.0912 Å, c = 5.0912 Å
α = 60.00°, β = 60.00°, γ = 60.00°
Sites, in units of the cell vectors:
Rb1 0.0000 0.0000 0.0000
W1 0.5000 0.5000 0.5000
Au1 0.2500 0.2500 0.2500


## 2
Density functional theory data (PBE) for crystalline RbWAu at its relaxed geometry.

Values from the calculation:
The crystal system is cubic. The volume comes out at 112.1 Å³/f.u. As for the space group: F-43m.

a = 5.4114 Å, b = 5.4114 Å, c = 5.4114 Å
α = 60.00°, β = 60.00°, γ = 60.00°
Sites, in units of the cell vectors:
Rb1 0.0000 0.0000 0.0000
W1 0.2500 0.2500 0.2500
Au1 0.7500 0.7500 0.7500


Which structure is the most stable? The one labeled 1.


## 1
Density functional theory data (PBE) for crystalline ScSnAuS3 at its relaxed geometry.

Values from the calculation:
The crystal system is orthorhombic. The volume comes out at 136.2 Å³/f.u. As for the space group: Pnma.

a = 9.8519 Å, b = 3.8382 Å, c = 14.4116 Å
α = 90.00°, β = 90.00°, γ = 90.00°
Sites, in units of the cell vectors:
Sc1 0.1552 0.2500 0.0399
Sc2 0.3448 0.7500 0.5399
Sc3 0.6552 0.2500 0.4601
Sc4 0.8448 0.7500 0.9601
Sn1 0.0294 0.2500 0.7007
Sn2 0.4706 0.7500 0.2007
Sn3 0.5294 0.2500 0.7993
Sn4 0.9706 0.7500 0.2993
Au1 0.1904 0.2500 0.3542
Au2 0.3096 0.7500 0.8542
Au3 0.6904 0.2500 0.1458
Au4 0.8096 0.7500 0.6458
S1 0.0027 0.2500 0.8944
S2 0.1723 0.2500 0.5143
S3 0.2190 0.7500 0.7047
S4 0.2810 0.2500 0.2047
S5 0.3277 0.7500 0.0143
S6 0.4973 0.7500 0.3944
S7 0.5027 0.2500 0.6056
S8 0.6723 0.2500 0.9857
S9 0.7190 0.7500 0.7953
S10 0.7810 0.2500 0.2953
S11 0.8277 0.7500 0.4857
S12 0.9973 0.7500 0.1056


## 2
Density functional theory data (PBE) for crystalline ScSnAuS3 at its relaxed geometry.

Values from the calculation:
The crystal system is orthorhombic. The volume comes out at 137.1 Å³/f.u. As for the space group: Cmcm.

a = 7.3376 Å, b = 7.3376 Å, c = 10.0578 Å
α = 90.00°, β = 90.00°, γ = 149.58°
Sites, in units of the cell vectors:
Sc1 0.0000 0.0000 0.0000
Sc2 0.0000 0.0000 0.5000
Sn1 0.3151 0.6849 0.7500
Sn2 0.6849 0.3151 0.2500
Au1 0.3447 0.6553 0.2500
Au2 0.6553 0.3447 0.7500
S1 0.0519 0.9481 0.2500
S2 0.3764 0.6236 0.0208
S3 0.3764 0.6236 0.4792
S4 0.6236 0.3764 0.5208
S5 0.6236 0.3764 0.9792
S6 0.9481 0.0519 0.7500


## 3
Density functional theory data (PBE) for crystalline ScSnAuS3 at its relaxed geometry.

Values from the calculation:
The crystal system is monoclinic. The volume comes out at 126.9 Å³/f.u. As for the space group: C2/m.

a = 8.7194 Å, b = 8.7194 Å, c = 8.1486 Å
α = 102.37°, β = 102.37°, γ = 24.83°
Sites, in units of the cell vectors:
Sc1 0.1651 0.1651 0.0907
Sc2 0.8349 0.8349 0.9093
Sn1 0.1329 0.1329 0.5880
Sn2 0.8671 0.8671 0.4120
Au1 0.4578 0.4578 0.7759
Au2 0.5422 0.5422 0.2241
S1 0.0000 0.0000 0.0000
S2 0.3089 0.3089 0.6815
S3 0.3239 0.3239 0.1312
S4 0.5000 0.5000 0.5000
S5 0.6761 0.6761 0.8688
S6 0.6911 0.6911 0.3185


Which structure is the most stable? The one labeled 1.


## 1
Density functional theory data (PBE) for crystalline ScSnAuS3 at its relaxed geometry.

Values from the calculation:
The crystal system is orthorhombic. The volume comes out at 136.8 Å³/f.u. As for the space group: Pnma.

a = 10.0571 Å, b = 3.8530 Å, c = 14.1245 Å
α = 90.00°, β = 90.00°, γ = 90.00°
Sites, in units of the cell vectors:
Sc1 0.0153 0.2500 0.2434
Sc2 0.4847 0.7500 0.7434
Sc3 0.5153 0.2500 0.2566
Sc4 0.9847 0.7500 0.7566
Sn1 0.2472 0.7500 0.4350
Sn2 0.2528 0.2500 0.9350
Sn3 0.7472 0.7500 0.0650
Sn4 0.7528 0.2500 0.5650
Au1 0.2404 0.2500 0.5952
Au2 0.2596 0.7500 0.0952
Au3 0.7404 0.2500 0.9048
Au4 0.7596 0.7500 0.4048
S1 0.0128 0.2500 0.6321
S2 0.0288 0.7500 0.1207
S3 0.2391 0.7500 0.8024
S4 0.2609 0.2500 0.3024
S5 0.4712 0.2500 0.6207
S6 0.4872 0.7500 0.1321
S7 0.5128 0.2500 0.8679
S8 0.5288 0.7500 0.3793
S9 0.7391 0.7500 0.6976
S10 0.7609 0.2500 0.1976
S11 0.9712 0.2500 0.8793
S12 0.9872 0.7500 0.3679


## 2
Density functional theory data (PBE) for crystalline ScSnAuS3 at its relaxed geometry.

Values from the calculation:
The crystal system is orthorhombic. The volume comes out at 136.9 Å³/f.u. As for the space group: Pnma.

a = 11.3856 Å, b = 3.7747 Å, c = 12.7438 Å
α = 90.00°, β = 90.00°, γ = 90.00°
Sites, in units of the cell vectors:
Sc1 0.0317 0.2500 0.1413
Sc2 0.4683 0.7500 0.6413
Sc3 0.5317 0.2500 0.3587
Sc4 0.9683 0.7500 0.8587
Sn1 0.1400 0.2500 0.5658
Sn2 0.3600 0.7500 0.0658
Sn3 0.6400 0.2500 0.9342
Sn4 0.8600 0.7500 0.4342
Au1 0.2106 0.7500 0.3767
Au2 0.2894 0.2500 0.8767
Au3 0.7106 0.7500 0.1233
Au4 0.7894 0.2500 0.6233
S1 0.0313 0.7500 0.2850
S2 0.0977 0.2500 0.9424
S3 0.2444 0.7500 0.6728
S4 0.2556 0.2500 0.1728
S5 0.4023 0.7500 0.4424
S6 0.4687 0.2500 0.7850
S7 0.5313 0.7500 0.2150
S8 0.5977 0.2500 0.5576
S9 0.7444 0.7500 0.8272
S10 0.7556 0.2500 0.3272
S11 0.9023 0.7500 0.0576
S12 0.9687 0.2500 0.7150


Which structure is the most stable? The one labeled 1.